[1]
VASP calculation (GGA-PBE) on crystalline Rb5AuF8 at its relaxed geometry.

abc: 7.357 7.357 7.357
angles: 111.85 104.81 111.85
Site moments in Bohr magnetons follow the coordinates.
Atoms (fractional coordinates):
1 F 0.214 0.710 0.979  0.00
2 F 0.693 0.419 0.895  0.08
3 F 0.269 0.290 0.503  0.00
4 F 0.497 0.765 0.786  0.00
5 F 0.021 0.235 0.731  0.00
6 F 0.477 0.581 0.274  0.08
7 F 0.726 0.202 0.307  0.08
8 F 0.105 0.798 0.523  0.08
9 Rb 0.500 0.000 0.500  0.00
10 Rb 0.025 0.416 0.175  0.00
11 Rb 0.391 0.150 0.975  0.00
12 Rb 0.825 0.850 0.240  0.00
13 Rb 0.760 0.584 0.609  0.00
14 Au 0.250 0.500 0.750  0.00

calculated volume = 21.785 Å³ per atom
symmetry = I-4
M_tot = 0.387 μB per formula unit
E_tot = -54.36 eV/cell
formation energy without anion corrections = -216 kJ per mole of atoms

[2]
VASP calculation (GGA-PBE) on crystalline Rb4AuF2 at its relaxed geometry.

abc: 4.315 7.475 15.127
angles: 90.00 90.00 106.78
Atoms (fractional coordinates):
1 Rb 0.500 0.000 0.500
2 Rb 0.236 0.472 0.603
3 Rb 0.071 0.142 0.250
4 Rb 0.236 0.472 0.897
5 Rb 0.929 0.858 0.750
6 Rb 0.764 0.528 0.103
7 Rb 0.764 0.528 0.397
8 Rb 0.500 0.000 0.000
9 F 0.134 0.268 0.055
10 F 0.866 0.732 0.555
11 F 0.134 0.268 0.445
12 F 0.866 0.732 0.945
13 Au 0.382 0.763 0.250
14 Au 0.618 0.237 0.750

calculated volume = 33.368 Å³ per atom
symmetry = Cmcm
E above lowest polymorph = 0.0000 eV/atom
M_tot = 0.000 μB per formula unit
E_tot = -43.17 eV/cell
formation energy without anion corrections = -147 kJ per mole of atoms